LaRu: optimized geometry, PBEsol.

abc: 4.837 4.837 4.832
angles: 90.00 90.00 120.00
Fractional positions:
1 La 0.333 0.667 0.250
2 La 0.667 0.333 0.750
3 Ru 0.000 0.000 0.000
4 Ru 0.000 0.000 0.500

Results
SG: P6_3/mmc, No. 194
Energy of formation from the pure elements in eV per formula unit: -0.22

---

ReGeP2O: optimized geometry, PBEsol.

abc: 4.753 4.753 3.683
angles: 90.00 90.00 90.00
Fractional positions:
1 Re 0.000 0.000 0.000
2 Ge 0.500 0.500 0.500
3 P 0.000 0.500 0.000
4 P 0.500 0.000 0.000
5 O 0.000 0.000 0.500

Results
Raw formation energy in eV per formula unit: -0.173
SG: P4/mmm, No. 123

---

ZrAl2Zn: optimized geometry, PBEsol.

abc: 4.350 4.673 6.665
angles: 90.00 90.00 90.00
Fractional positions:
1 Zr 0.000 0.000 0.000
2 Zr 0.500 0.500 0.000
3 Al 0.000 0.500 0.284
4 Al 0.000 0.500 0.716
5 Al 0.500 0.000 0.284
6 Al 0.500 0.000 0.716
7 Zn 0.000 0.000 0.500
8 Zn 0.500 0.500 0.500

Results
SG: Cmmm, No. 65
Energy of formation from the pure elements in eV per formula unit: -0.91

---

ReMoAs2: optimized geometry, PBEsol.

abc: 2.953 3.961 5.321
angles: 90.00 92.14 90.00
Fractional positions:
1 Re 0.000 0.000 0.000
2 Mo 0.500 0.000 0.500
3 As 0.135 0.500 0.738
4 As 0.865 0.500 0.262

Results
SG: P2/m, No. 10
Energy of formation from the pure elements in eV per formula unit: 1.73